No. 1
## CsAcScTe3 (PBE)

Data for an optimized crystal structure of CsAcScTe3.

Values from the calculation:
The calculation puts the total moment at 0.20 μB/f.u. The value obtained for the energy relative to the elements, uncorrected is -1.292 eV per atom.

Structure (POSCAR):
```
CsAcScTe3
1.0
10.6623 0.0000 0.0000
0.0000 4.8691 0.0000
-3.2226 0.0000 10.7322
Cs Ac Sc Te
2 2 2 6
direct
0.1972 0.2500 0.2262 Cs
0.8028 0.7500 0.7738 Cs
0.3380 0.7500 0.8550 Ac
0.6620 0.2500 0.1450 Ac
0.0829 0.2500 0.5978 Sc
0.9171 0.7500 0.4022 Sc
0.1178 0.2500 0.8564 Te
0.1922 0.7500 0.5371 Te
0.4553 0.7500 0.1618 Te
0.5447 0.2500 0.8382 Te
0.8078 0.2500 0.4629 Te
0.8822 0.7500 0.1436 Te
```

***

No. 2
## Cs2AcSe10 (PBE)

Data for an optimized crystal structure of Cs2AcSe10.

Values from the calculation:
The calculation puts the total moment at 0.00 μB/f.u. The value obtained for the energy relative to the elements, uncorrected is -0.576 eV per atom.

Structure (POSCAR):
```
Cs2AcSe10
1.0
8.3990 0.0000 0.0000
0.0000 17.6208 0.0000
0.0000 0.0000 7.1567
Cs Ac Se
4 2 20
direct
0.1655 0.1202 0.0000 Cs
0.3345 0.6202 0.0000 Cs
0.6655 0.3798 0.0000 Cs
0.8345 0.8798 0.0000 Cs
0.0000 0.5000 0.5000 Ac
0.5000 0.0000 0.5000 Ac
0.0796 0.0743 0.5000 Se
0.1921 0.8674 0.5000 Se
0.1970 0.4107 0.1937 Se
0.1970 0.4107 0.8063 Se
0.1992 0.6571 0.5000 Se
0.3008 0.1571 0.5000 Se
0.3030 0.9107 0.1937 Se
0.3030 0.9107 0.8063 Se
0.3079 0.3674 0.5000 Se
0.4204 0.5743 0.5000 Se
0.5796 0.4257 0.5000 Se
0.6921 0.6326 0.5000 Se
0.6970 0.0893 0.1937 Se
0.6970 0.0893 0.8063 Se
0.6992 0.8429 0.5000 Se
0.8008 0.3429 0.5000 Se
0.8030 0.5893 0.1937 Se
0.8030 0.5893 0.8063 Se
0.8079 0.1326 0.5000 Se
0.9204 0.9257 0.5000 Se
```

***

No. 3
## Cs5AcSe4 (PBE)

Data for an optimized crystal structure of Cs5AcSe4.

Values from the calculation:
The calculation puts the total moment at 0.00 μB/f.u. The value obtained for the energy relative to the elements, uncorrected is -1.274 eV per atom.

Structure (POSCAR):
```
Cs5AcSe4
1.0
11.0702 -2.4960 0.0000
11.0702 2.4960 0.0000
-3.9776 0.0000 8.5306
Cs Ac Se
5 1 4
direct
0.0000 0.0000 0.0000 Cs
0.3301 0.3301 0.0818 Cs
0.3303 0.3303 0.5830 Cs
0.6697 0.6697 0.4170 Cs
0.6699 0.6699 0.9182 Cs
0.0000 0.0000 0.5000 Ac
0.1615 0.1615 0.6598 Se
0.4998 0.4998 0.2803 Se
0.5002 0.5002 0.7197 Se
0.8385 0.8385 0.3402 Se
```

***

No. 4
## Cs4AcSm3Se8 (PBE)

Data for an optimized crystal structure of Cs4AcSm3Se8.

Values from the calculation:
The calculation puts the total moment at 0.00 μB/f.u. The value obtained for the energy relative to the elements, uncorrected is -1.742 eV per atom.

Structure (POSCAR):
```
Cs4AcSm3Se8
1.0
4.4260 2.5553 8.4129
-4.4260 2.5553 8.4129
0.0000 -5.1107 8.4129
Cs Ac Sm Se
4 1 3 8
direct
0.0000 0.0000 0.0000 Cs
0.0000 0.5000 0.5000 Cs
0.5000 0.0000 0.5000 Cs
0.5000 0.5000 0.0000 Cs
0.5000 0.5000 0.5000 Ac
0.0000 0.0000 0.5000 Sm
0.0000 0.5000 0.0000 Sm
0.5000 0.0000 0.0000 Sm
0.2179 0.7367 0.7367 Se
0.2291 0.2291 0.2291 Se
0.2633 0.2633 0.7821 Se
0.2633 0.7821 0.2633 Se
0.7367 0.2179 0.7367 Se
0.7367 0.7367 0.2179 Se
0.7709 0.7709 0.7709 Se
0.7821 0.2633 0.2633 Se
```

***

No. 5
## Cs2AcSmSe4 (PBE)

Data for an optimized crystal structure of Cs2AcSmSe4.

Values from the calculation:
The calculation puts the total moment at 0.00 μB/f.u. The value obtained for the energy relative to the elements, uncorrected is -1.759 eV per atom.

Structure (POSCAR):
```
Cs2AcSmSe4
1.0
7.7952 0.0000 0.0000
0.0000 4.4976 0.0000
-2.5849 0.0000 8.4200
Cs Ac Sm Se
2 1 1 4
direct
0.0000 0.0000 0.0000 Cs
0.5000 0.5000 0.0000 Cs
0.0000 0.5000 0.5000 Ac
0.5000 0.0000 0.5000 Sm
0.2446 0.0000 0.6945 Se
0.2821 0.5000 0.3104 Se
0.7179 0.5000 0.6896 Se
0.7554 0.0000 0.3055 Se
```

***

No. 6
## Cs3Ac2SmSe6 (PBE)

Data for an optimized crystal structure of Cs3Ac2SmSe6.

Values from the calculation:
The calculation puts the total moment at 0.00 μB/f.u. The value obtained for the energy relative to the elements, uncorrected is -1.776 eV per atom.

Structure (POSCAR):
```
Cs3Ac2SmSe6
1.0
3.9376 -6.8194 0.0000
3.9376 6.8194 0.0000
-2.6272 0.0000 8.4228
Cs Ac Sm Se
3 2 1 6
direct
0.0000 0.0000 0.0000 Cs
0.3320 0.6680 0.0000 Cs
0.6680 0.3320 0.0000 Cs
0.1666 0.8334 0.5000 Ac
0.8334 0.1666 0.5000 Ac
0.5000 0.5000 0.5000 Sm
0.1160 0.4356 0.3069 Se
0.2451 0.2451 0.6937 Se
0.4356 0.1160 0.3069 Se
0.5644 0.8840 0.6931 Se
0.7549 0.7549 0.3063 Se
0.8840 0.5644 0.6931 Se
```

***

No. 7
## Cs4Ac3SnSe8 (PBE)

Data for an optimized crystal structure of Cs4Ac3SnSe8.

Values from the calculation:
The calculation puts the total moment at 0.00 μB/f.u. The value obtained for the energy relative to the elements, uncorrected is -1.507 eV per atom.

Structure (POSCAR):
```
Cs4Ac3SnSe8
1.0
4.5637 2.6349 8.4349
-4.5637 2.6349 8.4349
0.0000 -5.2697 8.4349
Cs Ac Sn Se
4 3 1 8
direct
0.0000 0.0000 0.0000 Cs
0.0000 0.5000 0.5000 Cs
0.5000 0.0000 0.5000 Cs
0.5000 0.5000 0.0000 Cs
0.0000 0.0000 0.5000 Ac
0.0000 0.5000 0.0000 Ac
0.5000 0.0000 0.0000 Ac
0.5000 0.5000 0.5000 Sn
0.2329 0.2329 0.2329 Se
0.2446 0.7236 0.7236 Se
0.2764 0.2764 0.7554 Se
0.2764 0.7554 0.2764 Se
0.7236 0.2446 0.7236 Se
0.7236 0.7236 0.2446 Se
0.7554 0.2764 0.2764 Se
0.7671 0.7671 0.7671 Se
```

***

No. 8
## Cs2AcSn2Se4 (PBE)

Data for an optimized crystal structure of Cs2AcSn2Se4.

Values from the calculation:
The calculation puts the total moment at 0.00 μB/f.u. The value obtained for the energy relative to the elements, uncorrected is -1.074 eV per atom.

Structure (POSCAR):
```
Cs2AcSn2Se4
1.0
9.3458 -2.3302 0.0000
9.3458 2.3302 0.0000
-3.7259 0.0000 8.1212
Cs Ac Sn Se
2 1 2 4
direct
0.1272 0.1272 0.0716 Cs
0.8728 0.8728 0.9284 Cs
0.0000 0.0000 0.5000 Ac
0.3126 0.3126 0.4464 Sn
0.6874 0.6874 0.5536 Sn
0.1770 0.1770 0.7223 Se
0.4627 0.4627 0.7002 Se
0.5373 0.5373 0.2998 Se
0.8230 0.8230 0.2777 Se
```

***

No. 9
## Cs2AcSnSe4 (PBE)

Data for an optimized crystal structure of Cs2AcSnSe4.

Values from the calculation:
The calculation puts the total moment at 0.00 μB/f.u. The value obtained for the energy relative to the elements, uncorrected is -1.107 eV per atom.

Structure (POSCAR):
```
Cs2AcSnSe4
1.0
-4.1525 4.1525 5.2158
4.1525 -4.1525 5.2158
4.1525 4.1525 -5.2158
Cs Ac Sn Se
2 1 1 4
direct
0.0000 0.0000 0.0000 Cs
0.7500 0.2500 0.5000 Cs
0.2500 0.7500 0.5000 Ac
0.5000 0.5000 0.0000 Sn
0.2081 0.6178 0.0602 Se
0.3822 0.4425 0.5903 Se
0.5575 0.1478 0.9398 Se
0.8522 0.7919 0.4097 Se
```

***

No. 10
## CsAcSnSe4 (PBE)

Data for an optimized crystal structure of CsAcSnSe4.

Values from the calculation:
The calculation puts the total moment at 0.00 μB/f.u. The value obtained for the energy relative to the elements, uncorrected is -1.236 eV per atom.

Structure (POSCAR):
```
CsAcSnSe4
1.0
7.3494 0.0000 0.0000
0.0000 7.3486 0.0000
-3.0200 0.0000 9.5908
Cs Ac Sn Se
2 2 2 8
direct
0.2402 0.2500 0.4375 Cs
0.7598 0.7500 0.5625 Cs
0.2667 0.2500 0.9468 Ac
0.7333 0.7500 0.0532 Ac
0.2807 0.7500 0.1741 Sn
0.7193 0.2500 0.8259 Sn
0.0727 0.7500 0.9204 Se
0.0749 0.7500 0.3348 Se
0.4850 0.5158 0.7916 Se
0.4850 0.9842 0.7916 Se
0.5150 0.0158 0.2084 Se
0.5150 0.4842 0.2084 Se
0.9251 0.2500 0.6652 Se
0.9273 0.2500 0.0796 Se
```

***

No. 11
## CsAcSnSe3 (PBE)

Data for an optimized crystal structure of CsAcSnSe3.

Values from the calculation:
The calculation puts the total moment at 0.00 μB/f.u. The value obtained for the energy relative to the elements, uncorrected is -1.339 eV per atom.

Structure (POSCAR):
```
CsAcSnSe3
1.0
9.4012 0.0000 0.0000
0.0000 4.4504 0.0000
-3.5806 0.0000 11.6701
Cs Ac Sn Se
2 2 2 6
direct
0.2494 0.2500 0.2816 Cs
0.7506 0.7500 0.7184 Cs
0.3458 0.7500 0.8495 Ac
0.6542 0.2500 0.1505 Ac
0.1324 0.2500 0.5655 Sn
0.8676 0.7500 0.4345 Sn
0.0972 0.2500 0.7748 Se
0.3263 0.7500 0.5874 Se
0.4170 0.7500 0.1127 Se
0.5830 0.2500 0.8873 Se
0.6737 0.2500 0.4126 Se
0.9028 0.7500 0.2252 Se
```

***

No. 12
## Cs3SrAc2Se6 (PBE)

Data for an optimized crystal structure of Cs3SrAc2Se6.

Values from the calculation:
The calculation puts the total moment at 0.00 μB/f.u. The value obtained for the energy relative to the elements, uncorrected is -1.634 eV per atom.

Structure (POSCAR):
```
Cs3SrAc2Se6
1.0
4.0199 -6.9622 0.0000
4.0199 6.9622 0.0000
-2.6774 0.0000 8.4090
Cs Sr Ac Se
3 1 2 6
direct
0.0000 0.0000 0.0000 Cs
0.3356 0.6644 0.0000 Cs
0.6644 0.3356 0.0000 Cs
0.5000 0.5000 0.5000 Sr
0.1668 0.8332 0.5000 Ac
0.8332 0.1668 0.5000 Ac
0.0957 0.4342 0.3026 Se
0.2272 0.2272 0.6963 Se
0.4342 0.0957 0.3026 Se
0.5658 0.9043 0.6974 Se
0.7728 0.7728 0.3037 Se
0.9043 0.5658 0.6974 Se
```

***

The calculation returns the following energy values, one per record and in order: -28.5; -48.2; -35.1; -77.4; -38.5; -57.7; -71.7; -37.4; -32.6; -31.6; -27.4; -53.0 eV per formula unit.